First-principles (PBE) data for PrCu4Rh2 after structural relaxation, as listed in Alexandria.

Unit cell a=5.1880 b=5.2567 c=5.2568 alpha=75.91 beta=60.38 gamma=60.38
Last column: magnetic moment on the atom in μB.
Sites, in units of the cell vectors:
Rh  0.2493  0.5008  0.5008  0.25
Rh  0.7507  0.4992  0.4992  0.25
Cu  0.6904  0.6179  0.0000  0.01
Pr  0.0000  0.0000  0.0000  -0.01
Cu  0.6904  0.0000  0.6179  0.01
Cu  0.3096  0.3821  0.0000  0.01
Cu  0.3096  0.0000  0.3821  0.01

Results
ΔE_f ... -0.19 eV/atom
E ... -5.316 eV per atom
Symmetry ... C2/m
Magnetization ... 0.5 μB per formula unit